Below is MnCrF2 after structural relaxation, with properties calculated at the PBE+U level.

Cell: 3.4227 3.4227 19.7436 Å, 90.00 90.00 120.00°
Space group R-3m (No. 166, hexagonal axes)
Symmetry-distinct sites (fractional):
Mn 0.0000 0.0000 0.0000
Cr 0.0000 0.0000 0.5000
F 0.0000 0.0000 0.1156

## Properties
- VASP energy: -72.48 eV for the cell shown
- Crystal system: trigonal
- E above lowest polymorph: 140 meV/atom